Compound: CaOsPt2
Source: the Alexandria database
Functional: PBE-GGA
Structure: optimized geometry

a = 4.1194 Å, b = 4.1194 Å, c = 3.9824 Å
α = 90.00°, β = 90.00°, γ = 90.00°
Closest atoms and distances in Å follow each position.
Space group P4/mmm (No. 123)
Symmetry-distinct sites (fractional):
Ca 0.0000 0.0000 0.0000 [1 per cell]  8 Pt 2.86, 4 Os 2.91
Os 0.5000 0.5000 0.0000 [1 per cell]  8 Pt 2.86, 4 Ca 2.91
Pt 0.0000 0.5000 0.5000 [2 per cell]  4 Os 2.86, 4 Ca 2.86, 4 Pt 2.91

Summary:
- excess energy over the best structure of this formula in the dataset (meV/atom) = 182.4
- total magnetization (μB per atom) = 0.079
- energy relative to the elements (eV/atom) = 0.017